(i)
A relaxed structure of NdDy5Er3. Source: Alexandria, functional PBE-GGA.

Values from the calculation:
N(E_F)	13.7	states/eV/f.u.

Lattice parameters (Å, degrees): 16.818 7.956 12.171 90.00 130.59 90.00
Space group C2/m (No. 12)
One atom of each set of equivalent atoms:
Nd 0.236 0.000 0.131
Dy 0.000 0.321 0.000
Dy 0.064 0.207 0.780
Dy 0.124 0.000 0.566
Dy 0.201 0.500 0.072
Er 0.000 0.000 0.000
Er 0.000 0.500 0.500
Er 0.121 0.500 0.317
Er 0.170 0.000 0.339

(ii)
A relaxed structure of NdDy5Er3. Source: Alexandria, functional PBE-GGA.

Values from the calculation:
N(E_F)	11.9	states/eV/f.u.

Lattice parameters (Å, degrees): 18.297 6.304 11.253 90.00 112.58 90.00
Space group C2/c (No. 15)
One atom of each set of equivalent atoms:
Nd 0.000 0.136 0.250
Dy 0.000 0.394 0.750
Dy 0.169 0.290 0.209
Dy 0.170 0.179 0.870
Er 0.000 0.000 0.000
Er 0.162 0.305 0.514

Q: Which of them is the least stable? A: (i).

(i)
A relaxed structure of Nd6DyEr12. Source: Alexandria, functional PBE-GGA.

Values from the calculation:
N(E_F)	29.1	states/eV/f.u.

Lattice parameters (Å, degrees): 11.0643 11.0643 17.4636 90.00 90.00 120.00
Space group R-3m (No. 166, hexagonal axes)
One atom of each set of equivalent atoms:
Nd 0.0691 0.5345 0.2671
Dy 0.0000 0.0000 0.5000
Er 0.1017 0.5509 0.9135
Er 0.1060 0.2120 0.9076

(ii)
A relaxed structure of Nd6DyEr12. Source: Alexandria, functional PBE-GGA.

Values from the calculation:
N(E_F)	30.7	states/eV/f.u.

Lattice parameters (Å, degrees): 13.2036 13.2036 12.5986 90.00 90.00 120.00
Space group R-3m (No. 166, hexagonal axes)
One atom of each set of equivalent atoms:
Nd 0.0389 0.5194 0.1171
Dy 0.0000 0.0000 0.5000
Er 0.0000 0.2563 0.0000
Er 0.0912 0.1824 0.7640

Q: Which of them is the least stable? A: (ii).

(i)
A relaxed structure of Nd4DyEr4. Source: Alexandria, functional PBE-GGA.

Values from the calculation:
N(E_F)	13.2	states/eV/f.u.

Lattice parameters (Å, degrees): 10.775 10.775 5.059 90.00 90.00 90.00
Space group I4/mmm (No. 139)
One atom of each set of equivalent atoms:
Nd 0.167 0.167 0.000
Dy 0.000 0.000 0.500
Er 0.000 0.335 0.500

(ii)
A relaxed structure of Nd4DyEr4. Source: Alexandria, functional PBE-GGA.

Values from the calculation:
N(E_F)	14.9	states/eV/f.u.

Lattice parameters (Å, degrees): 16.984 5.619 6.791 90.00 113.55 90.00
Space group C2/m (No. 12)
One atom of each set of equivalent atoms:
Nd 0.133 0.000 0.309
Nd 0.220 0.500 0.154
Dy 0.000 0.500 0.000
Er 0.071 0.000 0.768
Er 0.122 0.500 0.574

Q: Which of them is the least stable? A: (ii).

(i)
A relaxed structure of Nd4DyEr3. Source: Alexandria, functional PBE-GGA.

Values from the calculation:
N(E_F)	14.7	states/eV/f.u.

Lattice parameters (Å, degrees): 11.549 7.320 6.299 90.00 90.00 90.00
Space group Pmn2_1 (No. 31)
One atom of each set of equivalent atoms:
Nd 0.000 0.128 0.000
Nd 0.000 0.871 0.506
Nd 0.248 0.128 0.340
Dy 0.000 0.622 0.006
Er 0.000 0.381 0.504
Er 0.250 0.380 0.838

(ii)
A relaxed structure of Nd4DyEr3. Source: Alexandria, functional PBE-GGA.

Values from the calculation:
N(E_F)	11.5	states/eV/f.u.

Lattice parameters (Å, degrees): 5.686 25.978 3.648 90.00 90.00 90.00
Space group Cmmm (No. 65)
One atom of each set of equivalent atoms:
Nd 0.000 0.102 0.000
Nd 0.000 0.223 0.000
Dy 0.000 0.000 0.500
Er 0.000 0.350 0.500
Er 0.000 0.500 0.000

Q: Which of them is the least stable? A: (ii).

(i)
A relaxed structure of Nd6Dy12Er. Source: Alexandria, functional PBE-GGA.

Values from the calculation:
N(E_F)	30.5	states/eV/f.u.

Lattice parameters (Å, degrees): 13.2863 13.2863 12.6506 90.00 90.00 120.00
Space group R-3m (No. 166, hexagonal axes)
One atom of each set of equivalent atoms:
Nd 0.0409 0.5204 0.1166
Dy 0.0000 0.2572 0.0000
Dy 0.0910 0.1821 0.7643
Er 0.0000 0.0000 0.5000

(ii)
A relaxed structure of Nd6Dy12Er. Source: Alexandria, functional PBE-GGA.

Values from the calculation:
N(E_F)	29.3	states/eV/f.u.

Lattice parameters (Å, degrees): 11.1234 11.1234 17.5996 90.00 90.00 120.00
Space group R-3m (No. 166, hexagonal axes)
One atom of each set of equivalent atoms:
Nd 0.0700 0.5350 0.2673
Dy 0.0998 0.5499 0.9132
Dy 0.1060 0.2120 0.9079
Er 0.0000 0.0000 0.5000

Q: Which of them is the least stable? A: (i).

(i)
A relaxed structure of Nd4Dy3Er. Source: Alexandria, functional PBE-GGA.

Values from the calculation:
N(E_F)	13.5	states/eV/f.u.

Lattice parameters (Å, degrees): 23.600 3.499 6.827 90.00 106.62 90.00
Space group C2/m (No. 12)
One atom of each set of equivalent atoms:
Nd 0.123 0.000 0.368
Nd 0.240 0.500 0.235
Dy 0.000 0.000 0.500
Dy 0.122 0.000 0.882
Er 0.000 0.500 0.000

(ii)
A relaxed structure of Nd4Dy3Er. Source: Alexandria, functional PBE-GGA.

Values from the calculation:
N(E_F)	14.6	states/eV/f.u.

Lattice parameters (Å, degrees): 11.592 7.330 6.314 90.00 90.00 90.00
Space group Pmn2_1 (No. 31)
One atom of each set of equivalent atoms:
Nd 0.000 0.128 0.000
Nd 0.000 0.872 0.497
Nd 0.249 0.872 0.835
Dy 0.000 0.378 0.500
Dy 0.250 0.379 0.833
Er 0.000 0.620 0.000

Q: Which of them is the least stable? A: (i).

(i)
A relaxed structure of NdDy6Er4. Source: Alexandria, functional PBE-GGA.

Values from the calculation:
N(E_F)	15.1	states/eV/f.u.

Lattice parameters (Å, degrees): 7.538 7.538 13.195 90.00 90.00 90.00
Space group I-42m (No. 121)
One atom of each set of equivalent atoms:
Nd 0.000 0.000 0.000
Dy 0.000 0.500 0.000
Dy 0.239 0.239 0.187
Er 0.162 0.162 0.421

(ii)
A relaxed structure of NdDy6Er4. Source: Alexandria, functional PBE-GGA.

Values from the calculation:
N(E_F)	20.0	states/eV/f.u.

Lattice parameters (Å, degrees): 5.688 9.601 25.592 90.00 90.00 90.00
Space group Cmcm (No. 63)
One atom of each set of equivalent atoms:
Nd 0.000 0.189 0.250
Dy 0.000 0.141 0.680
Dy 0.000 0.191 0.101
Dy 0.000 0.476 0.750
Dy 0.000 0.500 0.000
Er 0.000 0.157 0.542
Er 0.000 0.470 0.621

Q: Which of them is the least stable? A: (i).

(i)
A relaxed structure of Nd3Dy7Er. Source: Alexandria, functional PBE-GGA.

Values from the calculation:
N(E_F)	16.6	states/eV/f.u.

Lattice parameters (Å, degrees): 7.0752 7.0752 8.6832 90.00 90.00 120.00
Space group P3m1 (No. 156)
One atom of each set of equivalent atoms:
Nd 0.0001 0.5001 0.0000
Dy 0.1675 0.3350 0.6621
Dy 0.3349 0.1675 0.3372
Dy 0.6667 0.3333 0.6603
Er 0.3333 0.6667 0.3395

(ii)
A relaxed structure of Nd3Dy7Er. Source: Alexandria, functional PBE-GGA.

Values from the calculation:
N(E_F)	15.4	states/eV/f.u.

Lattice parameters (Å, degrees): 5.861 11.161 11.239 90.00 90.00 90.00
Space group Immm (No. 71)
One atom of each set of equivalent atoms:
Nd 0.000 0.000 0.000
Nd 0.000 0.500 0.287
Dy 0.000 0.204 0.199
Dy 0.000 0.293 0.500
Dy 0.000 0.500 0.000
Er 0.000 0.000 0.500

Q: Which of them is the least stable? A: (ii).

(i)
A relaxed structure of Nd4DyEr5. Source: Alexandria, functional PBE-GGA.

Values from the calculation:
N(E_F)	13.5	states/eV/f.u.

Lattice parameters (Å, degrees): 3.521 8.731 11.262 90.08 90.00 101.56
Space group P-1 (No. 2)
One atom of each set of equivalent atoms:
Nd 0.032 0.065 0.249
Nd 0.344 0.684 0.250
Dy 0.500 0.000 0.500
Er 0.172 0.346 0.048
Er 0.173 0.347 0.451
Er 0.500 0.000 0.000

(ii)
A relaxed structure of Nd4DyEr5. Source: Alexandria, functional PBE-GGA.

Values from the calculation:
N(E_F)	12.6	states/eV/f.u.

Lattice parameters (Å, degrees): 10.680 10.680 5.926 90.00 90.00 90.00
Space group I4mm (No. 107)
One atom of each set of equivalent atoms:
Nd 0.000 0.323 0.000
Dy 0.000 0.000 0.242
Er 0.000 0.000 0.765
Er 0.189 0.189 0.504

Q: Which of them is the least stable? A: (ii).